Entry 1:
Compound: ErFe4B
Source: the Alexandria database
Functional: meta-GGA SCAN
Structure: single point on PBEsol structure

Computed properties:
symmetry = No. 191
theoretical density = 9.13 Mg/m³

Cell: 4.9299 4.9299 6.9410 Å, 90.00 90.00 120.00°
Last column: nearest neighbours and their distance in Å.
Sites, in units of the cell vectors:
Fe 0.6667 0.3333 0.0000  6 Fe 2.43
Fe 0.5000 0.0000 0.2845  2 B 2.06
Fe 0.0000 0.5000 0.7155  2 B 2.06
B 0.6667 0.3333 0.5000  6 Fe 2.06
Er 0.0000 0.0000 0.5000  6 B 2.85, 12 Fe 2.88
Fe 0.5000 0.0000 0.7155  2 B 2.06
Fe 0.5000 0.5000 0.7155  2 B 2.06
B 0.3333 0.6667 0.5000  6 Fe 2.06
Er 0.0000 0.0000 0.0000  18 Fe 2.85-3.16
Fe 0.0000 0.5000 0.2845  2 B 2.06
Fe 0.3333 0.6667 0.0000  6 Fe 2.43
Fe 0.5000 0.5000 0.2845  2 B 2.06



Entry 2:
Compound: ErFeB4
Source: the Alexandria database
Functional: meta-GGA SCAN
Structure: single point on PBEsol structure

Computed properties:
symmetry = No. 55
theoretical density = 8.16 Mg/m³

Cell: 3.2998 5.8276 11.2765 Å, 90.00 90.00 90.00°
Last column: nearest neighbours and their distance in Å.
Sites, in units of the cell vectors:
B 0.5000 0.6383 0.5319  3 B 1.70-1.78
B 0.5000 0.2828 0.3160  3 B 1.78-1.80
B 0.5000 0.6118 0.9538  3 B 1.67-1.71
B 0.5000 0.9757 0.3091  3 B 1.71-1.80
B 0.5000 0.2172 0.8160  3 B 1.78-1.80
B 0.5000 0.8617 0.0319  3 B 1.70-1.78
B 0.5000 0.7828 0.1840  3 B 1.78-1.80
Er 0.0000 0.8730 0.8498  14 B 2.53-2.66
Er 0.0000 0.6270 0.3498  14 B 2.53-2.66
B 0.5000 0.3882 0.0462  3 B 1.67-1.71
Er 0.0000 0.1270 0.1502  14 B 2.53-2.66
B 0.5000 0.5243 0.8091  3 B 1.71-1.80
B 0.5000 0.4757 0.1909  3 B 1.71-1.80
Fe 0.0000 0.3674 0.9117  10 B 2.16-2.24
Fe 0.0000 0.1326 0.4117  10 B 2.16-2.24
B 0.5000 0.8882 0.4538  3 B 1.67-1.71
B 0.5000 0.3617 0.4681  3 B 1.70-1.78
Er 0.0000 0.3730 0.6502  14 B 2.53-2.66
B 0.5000 0.7172 0.6840  3 B 1.78-1.80
B 0.5000 0.1383 0.9681  3 B 1.70-1.78
Fe 0.0000 0.6326 0.0883  10 B 2.16-2.24
B 0.5000 0.0243 0.6909  3 B 1.71-1.80
Fe 0.0000 0.8674 0.5883  10 B 2.16-2.24
B 0.5000 0.1118 0.5462  3 B 1.67-1.71



| no. | E_form (eV per formula unit) |
| --- | --- |
| 1 | -1.48 |
| 2 | -3.95 |